First-principles (PBE) data for a geometry-optimized AsPt2Rh structure, as listed in the Alexandria database.

Values from the calculation:
V ... 62 Å³/cell
Electronic total energy ... -6.070 eV/atom
Total magnetization ... 0.00 μB per formula unit
Formation energy from the elements ... -0.0498 eV per atom

POSCAR file:
```
AsPt2Rh
1.0
2.847 0.000 0.000
0.000 3.634 0.000
0.000 0.000 6.012
As Rh Pt
1 1 2
Direct
0.500 0.500 0.722
0.000 0.000 0.522
0.000 0.000 0.999
0.500 0.500 0.258
```